[1]
Below is crystalline DyThPdRh at its relaxed geometry, with properties calculated at the PBE-GGA level.

The value obtained for the energy relative to the lowest polymorph listed for this composition is 0.000 eV per atom. The value obtained for the calculated formation energy is -0.918 eV/atom. For the total magnetic moment, the calculation gives 0.00 Bohr magnetons per cell.

The structure belongs to space group Amm2 (No. 38); the cell edges are 4.2395, 3.8371 and 11.2721 Å and the angles 90.00°, 90.00° and 90.00°. The distinct sites, in fractional coordinates, are Dy at (0.0000, 0.0000, 0.0000), Th at (0.5000, 0.0000, 0.7245), Pd at (0.5000, 0.0000, 0.4475) and Rh at (0.0000, 0.0000, 0.2600).

=====

[2]
Below is crystalline DyTmPdRh at its relaxed geometry, with properties calculated at the PBE-GGA level.

The value obtained for the energy relative to the lowest polymorph listed for this composition is 0.015 eV per atom. The value obtained for the calculated formation energy is -0.918 eV/atom. For the total magnetic moment, the calculation gives 0.00 Bohr magnetons per cell.

The structure belongs to space group F-43m (No. 216); the cell edges are 6.8852, 6.8852 and 6.8852 Å and the angles 90.00°, 90.00° and 90.00°. The distinct sites, in fractional coordinates, are Dy at (0.0000, 0.0000, 0.0000), Tm at (0.0000, 0.0000, 0.5000), Pd at (0.2500, 0.2500, 0.7500) and Rh at (0.2500, 0.2500, 0.2500).

=====

[3]
Below is crystalline DyTmPdRh at its relaxed geometry, with properties calculated at the PBE-GGA level.

The value obtained for the energy relative to the lowest polymorph listed for this composition is 0.000 eV per atom. The value obtained for the calculated formation energy is -0.933 eV/atom. For the total magnetic moment, the calculation gives 0.00 Bohr magnetons per cell.

The structure belongs to space group P4mm (No. 99); the cell edges are 3.4357, 3.4357 and 6.9117 Å and the angles 90.00°, 90.00° and 90.00°. The distinct sites, in fractional coordinates, are Dy at (0.0000, 0.0000, 0.0000), Tm at (0.0000, 0.0000, 0.4823), Pd at (0.5000, 0.5000, 0.7348) and Rh at (0.5000, 0.5000, 0.2457).

=====

[4]
Below is crystalline DyYPdRh at its relaxed geometry, with properties calculated at the PBE-GGA level.

The value obtained for the calculated formation energy is -0.873 eV/atom. For the total magnetic moment, the calculation gives 0.00 Bohr magnetons per cell.

The structure belongs to space group F-43m (No. 216); the cell edges are 6.9440, 6.9440 and 6.9440 Å and the angles 90.00°, 90.00° and 90.00°. The distinct sites, in fractional coordinates, are Dy at (0.0000, 0.0000, 0.0000), Y at (0.0000, 0.0000, 0.5000), Pd at (0.2500, 0.2500, 0.2500) and Rh at (0.2500, 0.2500, 0.7500).

=====

[5]
Below is crystalline DyZnPdRh at its relaxed geometry, with properties calculated at the PBE-GGA level.

The value obtained for the calculated formation energy is -0.700 eV/atom. For the total magnetic moment, the calculation gives 0.00 Bohr magnetons per cell.

The structure belongs to space group F-43m (No. 216); the cell edges are 6.5189, 6.5189 and 6.5189 Å and the angles 90.00°, 90.00° and 90.00°. The distinct sites, in fractional coordinates, are Dy at (0.0000, 0.0000, 0.0000), Zn at (0.0000, 0.0000, 0.5000), Pd at (0.2500, 0.2500, 0.7500) and Rh at (0.2500, 0.2500, 0.2500).

=====

[6]
Below is crystalline Dy3Zn2PdRh3 at its relaxed geometry, with properties calculated at the PBE-GGA level.

The value obtained for the calculated formation energy is -0.498 eV/atom. For the total magnetic moment, the calculation gives 0.00 Bohr magnetons per cell.

The structure belongs to space group P-62m (No. 189); the cell edges are 7.8163, 7.8163 and 3.1722 Å and the angles 90.00°, 90.00° and 120.00°. The distinct sites, in fractional coordinates, are Dy at (0.0000, 0.2898, 0.0000), Zn at (0.3333, 0.6667, 0.0000), Pd at (0.0000, 0.0000, 0.5000) and Rh at (0.0000, 0.6051, 0.5000).

=====

[7]
Below is crystalline Dy6PdRu5 at its relaxed geometry, with properties calculated at the PBE-GGA level.

The value obtained for the calculated formation energy is -0.441 eV/atom. For the total magnetic moment, the calculation gives 0.00 Bohr magnetons per cell.

The structure belongs to space group Cmmm (No. 65); the cell edges are 4.8300, 14.4327 and 6.8453 Å and the angles 90.00°, 90.00° and 90.00°. The distinct sites, in fractional coordinates, are Dy at (0.0000, 0.0000, 0.2444), Dy at (0.0000, 0.3310, 0.2475), Pd at (0.0000, 0.5000, 0.5000), Ru at (0.0000, 0.1658, 0.0000), Ru at (0.0000, 0.1657, 0.5000) and Ru at (0.0000, 0.5000, 0.0000).

=====

[8]
Below is crystalline Dy8PdRu5 at its relaxed geometry, with properties calculated at the PBE-GGA level.

The value obtained for the calculated formation energy is -0.309 eV/atom. For the total magnetic moment, the calculation gives 0.00 Bohr magnetons per cell.

The structure belongs to space group I-4 (No. 82); the cell edges are 8.5749, 8.5749 and 8.5020 Å and the angles 90.00°, 90.00° and 90.00°. The distinct sites, in fractional coordinates, are Dy at (0.0605, 0.1790, 0.3015), Dy at (0.0742, 0.3159, 0.9251), Pd at (0.0000, 0.5000, 0.2500), Ru at (0.0000, 0.0000, 0.0000) and Ru at (0.1398, 0.2522, 0.6082).